Entry 1:
A plane-wave DFT calculation with PBE was carried out for a relaxed BeAg2W crystal.

```
4
Lattice="2.751 0.000 0.000 0.000 4.653 0.000 0.000 0.000 4.853" Properties=species:S:1:pos:R:3 pbc="T T T"
Ag 1.376 2.326 0.000
Ag 0.000 0.000 0.000
Be 1.376 0.000 2.426
W 0.000 2.326 2.426
```

## Properties
E_form = 0.651 eV per atom
Space-group type = No. 47

Entry 2:
A plane-wave DFT calculation with PBE was carried out for a relaxed NaPaPdPt crystal.

```
4
Lattice="4.841 0.000 0.000 2.420 4.192 0.000 2.420 1.397 3.953" Properties=species:S:1:pos:R:3 pbc="T T T"
Pd 2.420 1.397 0.988
Pt 7.261 4.192 2.964
Pa 0.000 0.000 0.000
Na 4.841 2.795 1.976
```

## Properties
E_form = -0.432 eV per atom
Space-group type = No. 216

Entry 3:
A plane-wave DFT calculation with PBE was carried out for a relaxed AcTbOsPd crystal.

```
4
Lattice="-4.036 -0.564 3.057 -3.995 -2.761 -1.539 -0.954 -4.518 2.151" Properties=species:S:1:pos:R:3 pbc="T T T"
Pd 0.000 0.000 0.000
Ac -6.739 -5.882 2.752
Tb -2.246 -1.961 0.917
Os -4.493 -3.921 1.835
```

## Properties
E_form = -0.308 eV per atom
Space-group type = No. 216

Entry 4:
A plane-wave DFT calculation with PBE was carried out for a relaxed Sm2Th4Sb3N2 crystal.

```
11
Lattice="4.755 0.000 0.000 0.000 4.755 0.000 -2.378 -2.378 13.204" Properties=species:S:1:pos:R:3 pbc="T T T"
Th 2.378 0.000 10.953
Th 2.378 0.000 2.251
Th 0.000 2.378 10.953
Th 0.000 2.378 2.251
N 2.378 2.378 2.774
N 0.000 0.000 10.430
Sm 0.000 0.000 7.973
Sm 2.378 2.378 5.231
Sb 2.378 2.378 8.489
Sb 0.000 0.000 0.000
Sb 0.000 0.000 4.715
```

## Properties
Uncorrected formation energy = -1.020 eV/atom
Space-group type = No. 139

Entry 5:
A plane-wave DFT calculation with PBE was carried out for a relaxed RbGeAu3 crystal.

```
5
Lattice="5.752 0.000 0.000 0.000 5.752 0.000 0.000 0.000 5.752" Properties=species:S:1:pos:R:3 pbc="T T T"
Au 2.876 0.000 0.000
Au 0.000 2.876 0.000
Au 0.000 0.000 2.876
Rb 0.000 0.000 0.000
Ge 2.876 2.876 2.876
```

## Properties
E_form = 1.394 eV per atom
Space-group type = No. 221

Entry 6:
A plane-wave DFT calculation with PBE was carried out for a relaxed LaZn2P crystal.

```
4
Lattice="-1.000 1.117 -3.252 -3.033 -1.880 0.287 -2.880 5.045 2.618" Properties=species:S:1:pos:R:3 pbc="T T T"
P -3.457 2.141 -0.173
Zn -1.995 3.496 1.814
Zn -0.884 1.549 0.804
La -2.017 -0.382 -1.482
```

## Properties
E_form = -0.186 eV per atom
Space-group type = No. 123

Entry 7:
A plane-wave DFT calculation with PBE was carried out for a relaxed AcLaGdHo crystal.

```
4
Lattice="-1.734 -1.850 -5.334 -5.145 -2.834 -0.614 -4.525 2.650 -2.717" Properties=species:S:1:pos:R:3 pbc="T T T"
Ac -8.553 -1.525 -6.499
Ho 0.000 0.000 0.000
Gd -5.702 -1.017 -4.333
La -2.851 -0.508 -2.166
```

## Properties
E_form = 0.095 eV per atom
Space-group type = No. 216

Entry 8:
A plane-wave DFT calculation with PBE was carried out for a relaxed Pa2TaNb crystal.

```
4
Lattice="-1.220 -2.562 1.252 4.944 -1.814 1.105 -0.181 2.430 4.797" Properties=species:S:1:pos:R:3 pbc="T T T"
Nb -0.610 -1.281 0.626
Ta 1.772 -0.973 3.577
Pa -0.090 1.215 2.399
Pa 2.472 -0.907 0.553
```

## Properties
E_form = 0.339 eV per atom
Space-group type = No. 123

Entry 9:
A plane-wave DFT calculation with PBE was carried out for a relaxed Li3NpC4O12 crystal.

```
20
Lattice="-0.102 -3.861 4.796 5.931 1.632 -0.268 -2.666 5.051 2.302" Properties=species:S:1:pos:R:3 pbc="T T T"
Np 0.000 0.000 0.000
O -0.438 4.793 2.944
O 1.572 5.082 1.912
O 4.750 -0.926 2.922
O 2.620 -2.196 4.424
O -0.044 -1.610 5.407
O 0.435 1.867 3.758
O 5.219 1.041 1.874
O -1.567 0.084 5.431
O 2.387 2.143 2.739
O 4.024 3.634 1.365
O 1.924 0.222 3.747
O -1.898 2.794 4.455
C -1.215 -1.135 5.762
C 5.567 -0.174 2.223
C 1.582 1.411 3.415
C 0.393 5.541 2.259
Li -1.506 1.020 3.430
Li 2.627 -1.377 2.505
Li 2.043 3.178 0.894
```

## Properties
Uncorrected formation energy = -1.706 eV/atom
Space-group type = No. 155

Entry 10:
A plane-wave DFT calculation with PBE was carried out for a relaxed Li3AsSe4 crystal.

```
16
Lattice="-0.333 3.131 -5.911 -6.378 -2.854 -1.153 -3.597 6.555 3.674" Properties=species:S:1:pos:R:3 pbc="T T T"
As -1.159 -0.514 -0.217
As -7.185 2.511 -2.069
Li -7.437 6.137 -3.904
Li -5.617 -0.826 -4.027
Li -4.836 5.526 -0.581
Li -3.097 2.357 -2.357
Li -5.579 2.750 -5.803
Li -2.736 2.906 1.582
Se -6.992 1.439 0.032
Se -4.963 4.428 1.746
Se -2.839 4.856 -1.998
Se -5.587 -2.096 -1.731
Se -3.036 0.917 -0.222
Se -1.450 1.477 -4.054
Se -5.384 1.796 -3.418
Se -7.055 4.841 -1.711
```

## Properties
Uncorrected formation energy = -0.720 eV/atom
Space-group type = No. 31

Entry 11:
A plane-wave DFT calculation with PBE was carried out for a relaxed Th2CdNi9 crystal.

```
12
Lattice="4.969 0.000 0.000 2.485 4.304 0.000 2.485 1.435 8.268" Properties=species:S:1:pos:R:3 pbc="T T T"
Th 7.454 4.304 3.304
Th 2.485 1.435 4.964
Ni 6.216 3.589 6.250
Ni 4.969 1.430 6.250
Ni 2.485 1.435 0.013
Ni 4.969 2.869 4.134
Ni 7.454 4.304 8.256
Ni 4.969 4.308 2.018
Ni 6.216 2.149 2.018
Ni 3.723 3.589 6.250
Ni 3.723 2.149 2.018
Cd 0.000 0.000 0.000
```

## Properties
E_form = -0.241 eV per atom
Space-group type = No. 166

Entry 12:
A plane-wave DFT calculation with PBE was carried out for a relaxed Li2CeNdSi2 crystal.

```
6
Lattice="-1.202 -4.225 -0.793 4.311 1.035 0.516 -0.585 -1.204 7.294" Properties=species:S:1:pos:R:3 pbc="T T T"
Nd 0.000 0.000 0.000
Si 2.321 -1.031 1.976
Si 0.203 -3.362 5.042
Ce -0.292 -0.602 3.647
Li 2.039 -1.614 5.505
Li 0.486 -2.780 1.513
```

## Properties
Uncorrected formation energy = -0.479 eV/atom
Space-group type = No. 164

Which electronic total energy belongs to each record? In order, -4.94; -5.94; -6.60; -7.21; -1.69; -3.41; -6.83; -9.89; -7.46; -3.76; -5.89; -4.71 eV/atom.
Which total magnetic moment belongs to each record? In order, 0.0; 0.0; 0.0; 0.0; 0.0; 0.0; 7.8; 0.0; 3.6; 0.0; 0.0; 0.7 μB per cell.